[1]
RbAcPd, relaxed, DFT PBE; calculated total energy = -3.516 eV/atom; energy above the lowest structure with this stoichiometry = 0.0 kJ/mol of atoms; symmetry = P3m1 (156)
1.0
4.940 0.000 0.000
-2.470 4.278 0.000
0.000 0.000 15.965
Ac Pd Rb
3 3 3
Direct
0.333 0.667 0.217 Ac
0.667 0.333 0.378 Ac
0.333 0.667 0.903 Ac
0.000 0.000 0.299 Pd
0.000 0.000 0.820 Pd
0.000 0.000 0.990 Pd
0.667 0.333 0.075 Rb
0.333 0.667 0.559 Rb
0.667 0.333 0.715 Rb

[2]
Nb4SiPbN2, relaxed, DFT PBE; calculated total energy = -8.796 eV/atom; symmetry = P-6m2 (187)
1.0
3.272 0.000 0.000
-1.636 2.833 0.000
0.000 0.000 13.096
N Nb Pb Si
2 4 1 1
Direct
0.333 0.667 0.267 N
0.333 0.667 0.733 N
0.000 0.000 0.186 Nb
0.667 0.333 0.358 Nb
0.667 0.333 0.642 Nb
0.000 0.000 0.814 Nb
0.667 0.333 0.000 Pb
0.000 0.000 0.500 Si

[3]
HgB4As, relaxed, DFT PBE; calculated total energy = -4.507 eV/atom; energy above the lowest structure with this stoichiometry = 8.2 kJ/mol of atoms; symmetry = Immm (71)
1.0
2.076 -0.657 4.799
4.254 3.074 0.470
-5.229 -0.185 -0.624
As B Hg
1 4 1
Direct
0.500 0.500 0.000 As
0.579 0.247 0.333 B
0.086 0.753 0.333 B
0.914 0.247 0.667 B
0.421 0.753 0.667 B
0.000 0.000 0.000 Hg

[4]
LiBeCoW, relaxed, DFT PBE; calculated total energy = -6.275 eV/atom; energy above the lowest structure with this stoichiometry = 7.6 kJ/mol of atoms; symmetry = F-43m (216)
1.0
0.000 2.833 2.833
2.833 0.000 2.833
2.833 2.833 0.000
Be Co Li W
1 1 1 1
Direct
0.750 0.750 0.750 Be
0.250 0.250 0.250 Co
0.500 0.500 0.500 Li
0.000 0.000 0.000 W

[5]
YCd2Pb, relaxed, DFT PBE; calculated total energy = -3.153 eV/atom; symmetry = F-43m (216)
1.0
0.000 3.702 3.702
3.702 0.000 3.702
3.702 3.702 0.000
Cd Pb Y
2 1 1
Direct
0.000 0.000 0.000 Cd
0.750 0.750 0.750 Cd
0.500 0.500 0.500 Pb
0.250 0.250 0.250 Y

[6]
LaNdIN, relaxed, DFT PBE; calculated total energy = -6.150 eV/atom; symmetry = P-6m2 (187)
1.0
3.825 0.000 0.000
-1.913 3.313 0.000
0.000 0.000 15.424
I La N Nd
2 2 2 2
Direct
0.000 0.000 0.000 I
0.667 0.333 0.500 I
0.667 0.333 0.165 La
0.667 0.333 0.835 La
0.333 0.667 0.255 N
0.333 0.667 0.745 N
0.000 0.000 0.338 Nd
0.000 0.000 0.662 Nd